! Sc2IrBr PBEsol relaxed; values from VASP
! **M_tot**: 0.0 μB per cell
! **Fermi-level density of states**: 1.37 states/eV/cell
! **Energy above the most stable polymorph in this dataset**: 0 meV/atom
! **Formation energy (no corrections)**: -942 meV per atom
! **SG**: No. 166
&SYSTEM
  ibrav = 0, nat = 4, ntyp = 3
/
ATOMIC_SPECIES
Ir 192.22 Ir.upf
Br 79.90 Br.upf
Sc 44.96 Sc.upf
CELL_PARAMETERS angstrom
-1.713 1.630 -2.933
-3.191 -1.462 -1.369
-5.355 4.057 2.963
ATOMIC_POSITIONS crystal
Ir 0.500 0.500 0.500
Br 0.000 0.000 0.000
Sc 0.768 0.768 0.695
Sc 0.232 0.232 0.305